AcPrCdCu | PBE | relaxed

Cell lengths 7.7394, 7.7394, 7.7394 Å; angles 90.00, 90.00, 90.00 degrees
Space group F-43m (No. 216)
One atom of each set of equivalent atoms:
1 Ac 0.0000 0.0000 0.0000 [4 per cell]
2 Pr 0.0000 0.0000 0.5000 [4 per cell]
3 Cd 0.2500 0.2500 0.2500 [4 per cell]
4 Cu 0.2500 0.2500 0.7500 [4 per cell]

Results
* energy of formation: -0.6 eV per formula unit
* crystal system: cubic
* total moment: 0.0 μB per cell
* DOS(E_F): 0.931 states/eV/atom